{
  "formula": "SrTb3Pr4Se8",
  "functional": "PBE-GGA",
  "state": "optimized geometry",
  "m_tot_mub_per_cell": 0.00,
  "final_energy_ev_per_atom": -5.74,
  "raw_formation_energy_ev_per_atom": -1.82,
  "lattice_angstrom": [[8.3927, 0.0000, 0.0000], [0.0000, 8.4830, 0.0574], [-4.1963, -4.1921, 5.9375]],
  "species": ["Tb", "Se", "Pr", "Tb", "Se", "Se", "Pr", "Pr", "Se", "Se", "Tb", "Se", "Sr", "Se", "Se", "Pr"],
  "frac_coords": [[0.0000, 0.5000, 0.5000], [0.2552, 0.2657, 0.5105], [0.5000, 0.0000, 0.5000], [0.5000, 0.5000, 0.0000], [0.2504, 0.7397, 0.5008], [0.7496, 0.2603, 0.0107], [0.0000, 0.0000, 0.0000], [0.5000, 0.0000, 0.0000], [0.7389, 0.7397, 0.9893], [0.7496, 0.2603, 0.4992], [0.5000, 0.5000, 0.5000], [0.2504, 0.7397, 0.9893], [0.0000, 0.5000, 0.0000], [0.7448, 0.7343, 0.4895], [0.2611, 0.2603, 0.0107], [0.0000, 0.0000, 0.5000]]
}

---

{
  "formula": "Sr3TbPr2Se6",
  "functional": "PBE-GGA",
  "state": "optimized geometry",
  "m_tot_mub_per_cell": 0.00,
  "final_energy_ev_per_atom": -5.26,
  "raw_formation_energy_ev_per_atom": -1.91,
  "lattice_angstrom": [[7.4126, 0.0032, -0.0003], [-3.7017, 6.4222, -0.0003], [-1.2383, -2.1441, 7.1528]],
  "species": ["Pr", "Se", "Sr", "Se", "Se", "Sr", "Pr", "Se", "Se", "Tb", "Se", "Sr"],
  "frac_coords": [[0.3342, 0.6658, 0.0000], [0.2439, 0.2439, 0.7594], [0.5000, 0.5000, 0.5000], [0.9207, 0.5960, 0.7611], [0.0793, 0.4040, 0.2389], [0.1691, 0.8309, 0.5000], [0.6658, 0.3342, 0.0000], [0.5960, 0.9207, 0.7611], [0.4040, 0.0793, 0.2389], [0.0000, 0.0000, 0.0000], [0.7561, 0.7561, 0.2406], [0.8309, 0.1691, 0.5000]]
}